(1)
A relaxed LaHgN3 crystal. Source: Alexandria, functional GGA-PBE.

a b c (Å): 4.1944 4.1944 4.1944
angles (deg): 90.00 90.00 90.00
Closest atoms and distances in Å follow each position.
Space group Pm-3m (No. 221)
Inequivalent atoms, fractional coordinates:
La1 0.0000 0.0000 0.0000 (multiplicity 1)  12 N 2.97
Hg1 0.5000 0.5000 0.5000 (multiplicity 1)  6 N 2.10
N1 0.0000 0.5000 0.5000 (multiplicity 3)  2 Hg 2.10

Computed properties:
- Formation energy without anion corrections: 1.063 eV/atom

---

(2)
A relaxed TaMoRu2 crystal. Source: Alexandria, functional GGA-PBE.

a b c (Å): 9.3020 2.8670 4.7413
angles (deg): 90.00 99.90 90.00
Closest atoms and distances in Å follow each position.
Space group Cm (No. 8)
Inequivalent atoms, fractional coordinates:
Ta1 0.0000 0.0000 0.0000 (multiplicity 2)  7 Ru 2.66-2.78, 1 Mo 2.79, 2 Ta 2.87
Mo1 0.2263 0.0000 0.6840 (multiplicity 2)  7 Ru 2.69-2.83, 1 Ta 2.79, 2 Mo 2.87
Ru1 0.2511 0.5000 0.2040 (multiplicity 2)  3 Ta 2.66-2.77, 4 Mo 2.73-2.83, 4 Ru 2.76-2.87
Ru2 0.4839 0.0000 0.4960 (multiplicity 2)  3 Mo 2.69-2.70, 4 Ru 2.76-2.87, 4 Ta 2.77-2.78

Computed properties:
- Energy of formation from the pure elements: -0.037 eV/atom
- E above lowest polymorph: 40 meV per atom

---

(3)
A relaxed Cd2Sn2Hg crystal. Source: Alexandria, functional GGA-PBE.

a b c (Å): 16.3943 4.6214 7.7906
angles (deg): 90.00 113.70 90.00
Closest atoms and distances in Å follow each position.
Space group C2/c (No. 15)
Inequivalent atoms, fractional coordinates:
Cd1 0.0882 0.1175 0.0104 (multiplicity 8)  3 Hg 3.02-3.05, 1 Cd 3.03, 4 Sn 3.07-3.31
Sn1 0.1965 0.3468 0.7903 (multiplicity 8)  4 Cd 3.07-3.31, 3 Sn 3.11-3.15, 1 Hg 3.35
Hg1 0.0000 0.3858 0.2500 (multiplicity 4)  6 Cd 3.02-3.05, 2 Sn 3.35

Computed properties:
- Energy of formation from the pure elements: 0.060 eV/atom
- E above lowest polymorph: 0 meV per atom

---

(4)
A relaxed BeRuCl2 crystal. Source: Alexandria, functional GGA-PBE.

a b c (Å): 7.2298 3.0450 7.4997
angles (deg): 90.00 94.34 90.00
Closest atoms and distances in Å follow each position.
Space group Cm (No. 8)
Inequivalent atoms, fractional coordinates:
Be1 0.0000 0.0000 0.0000 (multiplicity 2)  2 Cl 2.14, 1 Ru 2.18
Ru1 0.2366 0.5000 0.1248 (multiplicity 2)  3 Be 2.18-2.42, 3 Cl 2.31-2.38
Cl1 0.0948 0.5000 0.8282 (multiplicity 2)  2 Be 2.14, 1 Ru 2.38
Cl2 0.2994 0.0000 0.3523 (multiplicity 2)  2 Ru 2.31

Computed properties:
- E above lowest polymorph: 1 meV per atom
- Formation energy without anion corrections: -0.236 eV/atom

---

(5)
A relaxed Ag6Pt5 crystal. Source: Alexandria, functional GGA-PBE.

a b c (Å): 14.7610 2.8184 8.8259
angles (deg): 90.00 94.03 90.00
Closest atoms and distances in Å follow each position.
Space group Cm (No. 8)
Inequivalent atoms, fractional coordinates:
Ag1 0.0000 0.0000 0.0000 (multiplicity 2)  3 Pt 2.79-2.93, 9 Ag 2.82-2.92
Ag2 0.0444 0.5000 0.7272 (multiplicity 2)  7 Ag 2.82-2.90, 5 Pt 2.86-2.90
Ag3 0.1373 0.5000 0.1805 (multiplicity 2)  8 Ag 2.82-2.92, 4 Pt 2.87-2.94
Ag4 0.1854 0.0000 0.9075 (multiplicity 2)  8 Ag 2.78-2.92, 4 Pt 2.90-2.99
Ag5 0.2728 0.0000 0.3590 (multiplicity 2)  4 Ag 2.82-2.83, 8 Pt 2.84-2.92
Ag6 0.3605 0.0000 0.8103 (multiplicity 2)  6 Ag 2.78-2.92, 6 Pt 2.88-2.96
Pt1 0.0876 0.0000 0.4545 (multiplicity 2)  7 Pt 2.78-2.82, 5 Ag 2.90-2.94
Pt2 0.2230 0.5000 0.6199 (multiplicity 2)  5 Pt 2.78-2.86, 7 Ag 2.84-2.99
Pt3 0.3239 0.5000 0.0951 (multiplicity 2)  8 Ag 2.79-2.96, 4 Pt 2.80-2.82
Pt4 0.4077 0.5000 0.5426 (multiplicity 2)  6 Pt 2.82-2.87, 6 Ag 2.85-2.88
Pt5 0.4555 0.0000 0.2758 (multiplicity 2)  8 Pt 2.80-2.87, 4 Ag 2.84-2.93

Computed properties:
- Energy of formation from the pure elements: 0.007 eV/atom
- E above lowest polymorph: 11 meV per atom

---

(6)
A relaxed Hf2CoNi2 crystal. Source: Alexandria, functional GGA-PBE.

a b c (Å): 6.7245 6.7245 3.3395
angles (deg): 90.00 90.00 90.00
Closest atoms and distances in Å follow each position.
Space group P4/mbm (No. 127)
Inequivalent atoms, fractional coordinates:
Hf1 0.1797 0.3203 0.0000 (multiplicity 4)  6 Ni 2.50-2.67
Co1 0.0000 0.0000 0.5000 (multiplicity 2)  4 Ni 2.66
Ni1 0.1249 0.6249 0.5000 (multiplicity 4)  1 Ni 2.38, 2 Hf 2.50, 2 Co 2.66

Computed properties:
- Energy of formation from the pure elements: -0.329 eV/atom
- E above lowest polymorph: 0 meV per atom

---

(7)
A relaxed RbNpP2 crystal. Source: Alexandria, functional GGA-PBE.

a b c (Å): 4.1536 4.1536 22.9968
angles (deg): 90.00 90.00 120.00
Closest atoms and distances in Å follow each position.
Space group R-3m (No. 166, hexagonal axes)
Inequivalent atoms, fractional coordinates:
Rb1 0.0000 0.0000 0.0000 (multiplicity 3)  6 P 3.50
Np1 0.0000 0.0000 0.5000 (multiplicity 3)  6 P 2.72
P1 0.0000 0.0000 0.2224 (multiplicity 6)  3 Np 2.72

Computed properties:
- Energy of formation from the pure elements: -0.461 eV/atom
- E above lowest polymorph: 0 meV per atom

---

(8)
A relaxed SmErSb crystal. Source: Alexandria, functional GGA-PBE.

a b c (Å): 3.4129 5.8631 17.9387
angles (deg): 90.00 90.00 90.00
Closest atoms and distances in Å follow each position.
Space group Immm (No. 71)
Inequivalent atoms, fractional coordinates:
Sm1 0.0000 0.0000 0.1693 (multiplicity 4)  5 Sb 3.14-3.40, 2 Sm 3.41
Er1 0.0000 0.2533 0.5000 (multiplicity 4)  2 Er 2.89-2.97, 2 Sb 3.16
Sb1 0.0000 0.0000 0.3445 (multiplicity 4)  5 Sm 3.14-3.40, 2 Er 3.16, 2 Sb 3.41

Computed properties:
- Formation energy without anion corrections: -0.397 eV/atom

---

(9)
A relaxed Li2CuPd4 crystal. Source: Alexandria, functional GGA-PBE.

a b c (Å): 4.5811 4.5811 12.6908
angles (deg): 90.00 90.00 90.00
Closest atoms and distances in Å follow each position.
Space group I4/mmm (No. 139)
Inequivalent atoms, fractional coordinates:
Li1 0.0000 0.0000 0.1151 (multiplicity 4)  5 Pd 2.48-2.72
Cu1 0.0000 0.0000 0.5000 (multiplicity 2)  6 Pd 2.29-2.40
Pd1 0.0000 0.0000 0.3108 (multiplicity 4)  1 Cu 2.40, 1 Li 2.48
Pd2 0.0000 0.5000 0.0000 (multiplicity 4)  2 Cu 2.29

Computed properties:
- Energy of formation from the pure elements: 0.392 eV/atom
- E above lowest polymorph: 546 meV per atom

---

(10)
A relaxed ScFeAs2 crystal. Source: Alexandria, functional GGA-PBE.

a b c (Å): 4.6837 4.6837 14.7690
angles (deg): 90.00 90.00 90.00
Closest atoms and distances in Å follow each position.
Space group I-42d (No. 122)
Inequivalent atoms, fractional coordinates:
Sc1 0.0000 0.0000 0.0000 (multiplicity 4)  4 As 2.70
Fe1 0.0000 0.0000 0.5000 (multiplicity 4)  4 As 2.31
As1 0.1599 0.2500 0.6250 (multiplicity 8)  2 Fe 2.31

Computed properties:
- Energy of formation from the pure elements: -0.189 eV/atom
- E above lowest polymorph: 367 meV per atom

---

(11)
A relaxed Sm2Er6Pu crystal. Source: Alexandria, functional GGA-PBE.

a b c (Å): 6.1116 9.3055 10.5238
angles (deg): 71.85 84.71 77.31
Closest atoms and distances in Å follow each position.
Space group P-1 (No. 2)
Inequivalent atoms, fractional coordinates:
Sm1 0.0267 0.1985 0.4424 (multiplicity 2)  7 Er 3.48-3.57, 4 Sm 3.51-3.61, 1 Pu 3.51
Sm2 0.4242 0.9145 0.6723 (multiplicity 2)  7 Er 3.49-3.57, 1 Pu 3.50, 4 Sm 3.51-3.61
Er1 0.0831 0.5826 0.3304 (multiplicity 2)  1 Pu 3.48, 2 Sm 3.48-3.53, 9 Er 3.49-3.57
Er2 0.1369 0.9730 0.2188 (multiplicity 2)  7 Er 3.46-3.55, 4 Sm 3.49-3.57, 1 Pu 3.53
Er3 0.2526 0.7466 0.0007 (multiplicity 2)  8 Er 3.46-3.57, 3 Pu 3.48-3.55, 1 Sm 3.49
Er4 0.3052 0.1412 0.8930 (multiplicity 2)  1 Pu 3.45, 10 Er 3.46-3.57, 1 Sm 3.53
Er5 0.3637 0.5264 0.7817 (multiplicity 2)  7 Er 3.46-3.57, 3 Pu 3.48-3.53, 2 Sm 3.52
Er6 0.4709 0.3080 0.5572 (multiplicity 2)  8 Er 3.48-3.57, 4 Sm 3.53-3.57
Pu1 0.1866 0.3636 0.1086 (multiplicity 2)  1 Pu 3.42, 9 Er 3.45-3.55, 2 Sm 3.50-3.51

Computed properties:
- Energy of formation from the pure elements: 0.052 eV/atom

---

(12)
A relaxed TaCrNi3 crystal. Source: Alexandria, functional GGA-PBE.

a b c (Å): 4.1820 4.1820 4.1820
angles (deg): 90.00 90.00 90.00
Closest atoms and distances in Å follow each position.
Space group Pm-3m (No. 221)
Inequivalent atoms, fractional coordinates:
Ta1 0.0000 0.0000 0.0000 (multiplicity 1)  12 Ni 2.96
Cr1 0.5000 0.5000 0.5000 (multiplicity 1)  6 Ni 2.09
Ni1 0.0000 0.5000 0.5000 (multiplicity 3)  2 Cr 2.09

Computed properties:
- Energy of formation from the pure elements: 1.015 eV/atom
- E above lowest polymorph: 0 meV per atom

---

(13)
A relaxed Ba2HgGe crystal. Source: Alexandria, functional GGA-PBE.

a b c (Å): 3.9732 6.8617 13.1578
angles (deg): 90.00 90.00 90.00
Closest atoms and distances in Å follow each position.
Space group Immm (No. 71)
Inequivalent atoms, fractional coordinates:
Ba1 0.0000 0.0000 0.2493 (multiplicity 4)  1 Ge 3.28, 1 Hg 3.30
Hg1 0.0000 0.0000 0.5000 (multiplicity 2)  2 Ba 3.30
Ge1 0.0000 0.0000 0.0000 (multiplicity 2)  2 Ba 3.28

Computed properties:
- Energy of formation from the pure elements: 0.426 eV/atom

---

(14)
A relaxed Tl2ZnCu crystal. Source: Alexandria, functional GGA-PBE.

a b c (Å): 8.7213 3.3605 6.2212
angles (deg): 90.00 102.32 90.00
Closest atoms and distances in Å follow each position.
Space group C2/m (No. 12)
Inequivalent atoms, fractional coordinates:
Tl1 0.2431 0.0000 0.2364 (multiplicity 4)  3 Cu 2.86-2.93, 3 Zn 2.94-2.99
Zn1 0.0000 0.0000 0.5000 (multiplicity 2)  6 Tl 2.94-2.99
Cu1 0.0000 0.5000 0.0000 (multiplicity 2)  6 Tl 2.86-2.93

Computed properties:
- Energy of formation from the pure elements: 0.280 eV/atom
- E above lowest polymorph: 140 meV per atom

---

(15)
A relaxed CsNa4Hg4 crystal. Source: Alexandria, functional GGA-PBE.

a b c (Å): 10.6239 10.6239 5.7685
angles (deg): 90.00 90.00 90.00
Closest atoms and distances in Å follow each position.
Space group P4_2/n (No. 86, origin choice 2)
Inequivalent atoms, fractional coordinates:
Cs1 0.2500 0.2500 0.2500 (multiplicity 2)  4 Na 4.21, 12 Hg 4.27-4.67
Na1 0.1310 0.8541 0.6869 (multiplicity 8)  4 Hg 3.08-3.19, 1 Na 3.36
Hg1 0.0293 0.9075 0.1958 (multiplicity 8)  1 Hg 3.06, 4 Na 3.08-3.19

Computed properties:
- Energy of formation from the pure elements: -0.171 eV/atom
- E above lowest polymorph: 25 meV per atom

---

(16)
A relaxed TbGa4Os crystal. Source: Alexandria, functional GGA-PBE.

a b c (Å): 7.7542 4.0947 6.9708
angles (deg): 90.00 90.00 90.00
Closest atoms and distances in Å follow each position.
Space group Pmma (No. 51)
Inequivalent atoms, fractional coordinates:
Tb1 0.2500 0.0000 0.1290 (multiplicity 2)  1 Os 2.97, 12 Ga 3.04-3.28
Ga1 0.0000 0.0000 0.5000 (multiplicity 2)  2 Os 2.40
Ga2 0.0651 0.5000 0.8251 (multiplicity 4)  2 Ga 2.64-2.87, 2 Os 2.64
Ga3 0.2500 0.5000 0.4520 (multiplicity 2)  2 Os 2.69, 6 Ga 2.84-2.97
Os1 0.2500 0.0000 0.7027 (multiplicity 2)  6 Ga 2.40-2.64

Computed properties:
- Energy of formation from the pure elements: -0.420 eV/atom

---

(17)
A relaxed USbO crystal. Source: Alexandria, functional GGA-PBE.

a b c (Å): 3.8378 3.8378 4.7153
angles (deg): 90.00 90.00 120.00
Closest atoms and distances in Å follow each position.
Space group P-6m2 (No. 187)
Inequivalent atoms, fractional coordinates:
U1 0.0000 0.0000 0.0000 (multiplicity 1)  3 O 2.22
Sb1 0.6667 0.3333 0.5000 (multiplicity 1)  6 U 3.24, 6 O 3.24
O1 0.3333 0.6667 0.0000 (multiplicity 1)  3 U 2.22

Computed properties:
- E above lowest polymorph: 0 meV per atom
- Formation energy without anion corrections: -1.675 eV/atom

---

(18)
A relaxed Mg4GaPd2 crystal. Source: Alexandria, functional GGA-PBE.

a b c (Å): 4.4264 4.4264 26.0631
angles (deg): 90.00 90.00 120.00
Closest atoms and distances in Å follow each position.
Space group R-3m (No. 166, hexagonal axes)
Inequivalent atoms, fractional coordinates:
Mg1 0.0000 0.0000 0.1093 (multiplicity 6)  3 Pd 2.73, 3 Ga 2.96
Mg2 0.0000 0.0000 0.2988 (multiplicity 6)  4 Pd 2.74-2.78
Ga1 0.0000 0.0000 0.5000 (multiplicity 3)  2 Pd 2.47
Pd1 0.0000 0.0000 0.4054 (multiplicity 6)  1 Ga 2.47, 6 Mg 2.73-2.74

Computed properties:
- Energy of formation from the pure elements: -0.378 eV/atom

---

(19)
A relaxed FeCuCl3 crystal. Source: Alexandria, functional GGA-PBE.

a b c (Å): 4.8055 4.8055 4.8055
angles (deg): 90.00 90.00 90.00
Closest atoms and distances in Å follow each position.
Space group Pm-3m (No. 221)
Inequivalent atoms, fractional coordinates:
Fe1 0.0000 0.0000 0.0000 (multiplicity 1)  6 Cl 2.40
Cu1 0.5000 0.5000 0.5000 (multiplicity 1)  12 Cl 3.40
Cl1 0.0000 0.0000 0.5000 (multiplicity 3)  2 Fe 2.40

Computed properties:
- E above lowest polymorph: 460 meV per atom
- Formation energy without anion corrections: -0.088 eV/atom

---

(20)
A relaxed Cs2PH2 crystal. Source: Alexandria, functional GGA-PBE.

a b c (Å): 9.1833 9.1833 3.6180
angles (deg): 90.00 90.00 90.00
Closest atoms and distances in Å follow each position.
Space group P4/mbm (No. 127)
Inequivalent atoms, fractional coordinates:
Cs1 0.1520 0.3480 0.0000 (multiplicity 4)  6 H 3.22-3.27, 2 P 3.49
P1 0.0000 0.0000 0.0000 (multiplicity 2)  4 Cs 3.49, 2 P 3.62
H1 0.1384 0.6384 0.5000 (multiplicity 4)  6 Cs 3.22-3.27, 1 H 3.59

Computed properties:
- E above lowest polymorph: 510 meV per atom

---

no.,VASP energy (hartree per atom)
1,-0.1830
2,-0.3802
3,-0.0723
4,-0.1620
5,-0.1578
6,-0.2956
7,-0.2441
8,-0.1788
9,-0.1363
10,-0.2283
11,-0.2069
12,-0.2480
13,-0.0649
14,-0.0825
15,-0.0362
16,-0.1867
17,-0.3111
18,-0.1178
19,-0.1363
20,-0.0804